No. 1
10
Lattice="-3.026 2.102 0.512 -3.030 -8.195 2.231 1.951 1.141 6.842" Properties=species:S:1:pos:R:3 comment="Dy3CSe, optimized geometry, DFT PBE-GGA" e_above_lowest_polymorph_kj_per_mol_fu=85 e_tot_ev_per_atom=-6.01 e_form_raw_kj_per_mol_fu=-342 pbc="T T T"
Dy -2.477 -4.039 8.692
Dy -1.627 -0.914 0.893
Dy -3.310 -4.526 5.770
Dy -0.794 -0.426 3.815
Dy -1.119 -3.960 2.877
Dy -2.985 -0.993 6.708
C -2.991 -0.040 2.757
C -1.112 -4.912 6.828
Se -2.875 -6.719 3.838
Se -1.229 1.767 5.747

=====

No. 2
16
Lattice="5.639 0.000 0.000 0.000 8.548 0.000 0.000 0.000 8.889" Properties=species:S:1:pos:R:3 comment="Dy4CSe3, optimized geometry, DFT PBE-GGA" e_above_lowest_polymorph_kj_per_mol_fu=180 e_tot_ev_per_atom=-6.01 e_form_raw_kj_per_mol_fu=-967 pbc="T T T"
Dy 0.359 7.818 0.000
Dy 3.302 1.559 0.000
Dy 0.382 2.687 1.994
Dy 3.202 5.861 2.450
Dy 0.483 6.989 4.444
Dy 3.178 0.730 4.444
Dy 3.202 5.861 6.439
Dy 0.382 2.687 6.894
C 0.123 1.581 0.000
C 2.943 6.967 4.444
Se 3.200 7.363 0.000
Se 0.397 5.593 1.988
Se 3.216 2.955 2.457
Se 0.381 1.185 4.444
Se 3.216 2.955 6.432
Se 0.397 5.593 6.901

=====

No. 3
6
Lattice="-3.294 -1.303 -1.027 3.133 -4.171 1.866 -3.389 3.956 5.851" Properties=species:S:1:pos:R:3 comment="DyCSe, optimized geometry, DFT PBE-GGA" e_above_lowest_polymorph_kj_per_mol_fu=9 e_tot_ev_per_atom=-6.59 e_form_raw_kj_per_mol_fu=-237 pbc="T T T"
Dy -2.642 -2.302 4.770
Dy -0.909 0.784 1.919
Se -0.241 -1.788 3.042
Se -3.309 0.271 3.648
C -1.673 -1.002 6.635
C -1.878 -0.516 0.054

=====

No. 4
15
Lattice="-1.732 3.702 0.434 -9.183 -4.158 -1.177 4.053 0.810 9.269" Properties=species:S:1:pos:R:3 comment="Dy8CSe6, optimized geometry, DFT PBE-GGA" e_tot_ev_per_atom=-5.45 e_form_raw_kj_per_mol_fu=-1434 pbc="T T T"
Dy -9.303 -1.167 1.462
Dy -5.195 0.193 6.253
Dy -3.636 1.637 0.157
Dy 2.441 1.522 7.064
Dy -1.667 0.162 2.273
Dy -3.226 -1.282 8.369
Dy -1.646 1.905 6.109
Dy -5.216 -1.551 2.416
C -0.866 1.851 0.217
Se -6.854 0.151 0.729
Se -7.161 -0.404 4.240
Se -4.218 1.127 2.927
Se -0.008 0.203 7.796
Se 0.299 0.758 4.285
Se -2.644 -0.772 5.599

=====

No. 5
11
Lattice="-4.153 4.857 0.554 -2.759 1.231 5.659 3.596 5.721 1.729" Properties=species:S:1:pos:R:3 comment="Dy6C3Se2, optimized geometry, DFT PBE-GGA" e_tot_ev_per_atom=-6.59 e_form_raw_kj_per_mol_fu=-989 pbc="T T T"
Dy -0.616 7.334 5.354
Dy -0.168 8.176 1.798
Dy 1.683 5.294 3.327
Dy -0.389 2.402 0.485
Dy -2.700 4.475 2.589
Dy -4.999 6.515 4.615
C 0.000 0.000 0.000
C -2.308 2.023 2.102
C -4.604 4.065 4.112
Se -0.735 4.488 4.739
Se -2.581 7.321 3.203

=====

No. 6
4
Lattice="-3.161 1.406 -1.408 -2.926 -2.238 -0.621 -4.272 0.925 5.558" Properties=species:S:1:pos:R:3 comment="Dy2CSe, optimized geometry, DFT PBE-GGA" e_tot_ev_per_atom=-6.58 e_form_raw_kj_per_mol_fu=-425 pbc="T T T"
Dy -3.825 0.685 4.314
Dy -2.477 -0.037 0.569
C -8.323 0.367 4.186
Se -5.185 0.050 1.781

=====

No. 7
12
Lattice="6.669 0.151 0.260 -1.323 6.720 -0.142 -1.323 -3.455 5.766" Properties=species:S:1:pos:R:3 comment="Dy3CSe2, optimized geometry, DFT PBE-GGA" e_above_lowest_polymorph_kj_per_mol_fu=8 e_tot_ev_per_atom=-6.34 e_form_raw_kj_per_mol_fu=-778 pbc="T T T"
Dy 5.868 0.412 2.345
Dy 2.533 1.756 1.390
Dy -0.661 3.360 -0.071
Dy -1.844 3.004 3.539
Dy 2.673 -1.652 3.013
Dy 1.490 1.660 4.494
C 0.345 2.459 2.419
C 3.679 0.957 3.465
Se 0.345 5.927 0.406
Se 0.345 -0.969 4.410
Se 3.679 -2.511 5.478
Se 3.679 4.386 1.474

=====

No. 8
8
Lattice="3.900 0.000 0.000 0.000 6.585 -2.209 0.000 -0.021 6.946" Properties=species:S:1:pos:R:3 comment="Dy4CSe3, optimized geometry, DFT PBE-GGA" e_above_lowest_polymorph_kj_per_mol_fu=0 e_tot_ev_per_atom=-6.25 e_form_raw_kj_per_mol_fu=-1147 pbc="T T T"
C 1.950 0.000 0.000
Se 0.000 -0.010 3.473
Se 1.950 3.282 2.368
Se 0.000 3.292 -1.105
Dy 0.000 1.384 0.998
Dy 1.950 5.112 -0.169
Dy 0.000 5.180 3.738
Dy 1.950 1.452 4.905

=====

No. 9
6
Lattice="-2.606 1.885 2.014 -3.897 -3.619 -1.654 4.460 -2.658 4.685" Properties=species:S:1:pos:R:3 comment="Dy3CSe2, optimized geometry, DFT PBE-GGA" e_above_lowest_polymorph_kj_per_mol_fu=0 e_tot_ev_per_atom=-6.36 e_form_raw_kj_per_mol_fu=-786 pbc="T T T"
Dy 0.886 -2.583 3.565
Dy 0.000 0.000 0.000
Dy -2.928 -1.808 1.480
C -1.948 -1.809 -0.827
Se -0.879 -0.294 2.714
Se -1.164 -4.098 2.331

=====

No. 10
20
Lattice="3.642 0.000 0.000 0.000 12.393 -3.606 0.000 -1.496 10.069" Properties=species:S:1:pos:R:3 comment="Dy6C3Se, optimized geometry, DFT PBE-GGA" e_tot_ev_per_atom=-6.45 e_form_raw_kj_per_mol_fu=-554 pbc="T T T"
Dy 2.732 4.124 4.432
Dy 0.911 6.774 2.031
Dy 2.732 11.329 -2.710
Dy 0.911 -0.431 9.172
Dy 2.732 5.250 -0.696
Dy 0.911 5.647 7.158
Dy 2.732 8.585 -0.164
Dy 0.911 2.312 6.626
Dy 2.732 0.761 3.937
Dy 0.911 10.137 2.525
Dy 2.732 8.210 4.731
Dy 0.911 2.687 1.731
C 2.732 3.981 6.900
C 0.911 6.917 -0.438
C 2.732 8.489 2.315
C 0.911 2.409 4.147
C 2.732 1.302 0.858
C 0.911 9.596 5.604
Se 2.732 -0.016 6.778
Se 0.911 10.913 -0.316

=====

No. 11
7
Lattice="3.696 0.000 0.000 1.848 3.201 0.000 1.848 1.067 12.894" Properties=species:S:1:pos:R:3 comment="Dy4C2Se, optimized geometry, DFT PBE-GGA" e_tot_ev_per_atom=-6.53 e_form_raw_kj_per_mol_fu=-518 pbc="T T T"
Dy 1.848 1.067 8.288
Dy 1.848 1.067 1.938
Dy 5.545 3.201 10.956
Dy 5.545 3.201 4.607
C 3.696 2.134 9.533
C 3.696 2.134 3.361
Se 0.000 0.000 0.000

=====

No. 12
6
Lattice="-3.308 0.656 -2.135 0.526 -3.886 1.722 -4.801 2.960 8.348" Properties=species:S:1:pos:R:3 comment="DyCSe, optimized geometry, DFT PBE-GGA" e_above_lowest_polymorph_kj_per_mol_fu=0 e_tot_ev_per_atom=-6.62 e_form_raw_kj_per_mol_fu=-247 pbc="T T T"
Dy -6.450 0.310 6.358
Dy -1.133 -0.581 1.577
C -1.045 -2.931 0.718
C -6.538 2.661 7.217
Se -3.822 -1.082 1.857
Se -3.762 0.812 6.078